{
  "formula": "LaHgIr2",
  "functional": "PBE-GGA",
  "state": "optimized geometry",
  "lattice": [[-0.9719, 4.9872, -0.3825], [-2.3003, 0.3820, -4.5306], [-1.1775, -3.1273, 3.8467]],
  "species": ["La", "Ir", "Ir", "Hg"],
  "fractional_positions": [[0.7500, 0.2500, 0.5000], [0.5000, 0.5000, 0.0000], [0.0000, 0.0000, 0.0000], [0.2500, 0.7500, 0.5000]],
  "sg": "No. 139",
  "formation_energy_kj_per_mol_fu": -10,
  "mass_density_g_cm3": 15.0
}